1.
{
  "formula": "Tb6Pr2Mg",
  "functional": "PBE-GGA",
  "state": "optimized geometry",
  "lattice_angstrom": [[-1.677, -1.273, 4.608], [9.011, -5.403, 1.786], [4.467, 8.789, 4.052]],
  "species": ["Tb", "Tb", "Tb", "Pr", "Tb", "Pr", "Tb", "Tb", "Pr", "Tb", "Tb", "Pr", "Mg", "Tb", "Tb", "Mg", "Tb", "Tb"],
  "fractional_positions": [[0.500, 0.166, 0.001], [0.500, 0.834, 0.999], [0.500, 0.832, 0.332], [0.000, 0.664, 0.164], [0.000, 0.666, 0.499], [0.000, 0.336, 0.836], [0.000, 0.334, 0.501], [0.500, 0.501, 0.666], [0.500, 0.164, 0.336], [0.500, 0.499, 0.334], [0.000, 0.668, 0.832], [0.500, 0.836, 0.664], [0.000, 0.000, 0.500], [0.000, 0.001, 0.834], [0.000, 0.999, 0.166], [0.500, 0.500, 0.000], [0.000, 0.332, 0.168], [0.500, 0.168, 0.668]],
  "dos_at_fermi_per_ev_atom": 1.39,
  "ef_kj_per_mol_atoms": 2.06,
  "relative_energy_ev_per_atom": 0.000
}

=====

2.
{
  "formula": "K4Cd2Hg3",
  "functional": "PBE-GGA",
  "state": "optimized geometry",
  "lattice_angstrom": [[-2.002, 3.434, -2.629], [-2.522, -5.501, -5.265], [-5.839, -0.786, 7.738]],
  "species": ["Hg", "Cd", "Hg", "K", "K", "K", "Cd", "Hg", "K"],
  "fractional_positions": [[0.880, 0.764, 0.760], [0.409, 0.561, 0.819], [0.120, 0.236, 0.240], [0.770, 0.301, 0.541], [0.230, 0.699, 0.459], [0.423, 0.114, 0.846], [0.591, 0.439, 0.181], [0.000, 0.500, 0.000], [0.577, 0.886, 0.154]],
  "dos_at_fermi_per_ev_atom": 0.40,
  "ef_kj_per_mol_atoms": -15.57
}

=====

3.
{
  "formula": "PmY8Tm2",
  "functional": "PBE-GGA",
  "state": "optimized geometry",
  "lattice_angstrom": [[-4.324, 0.068, 3.263], [4.331, -4.187, 5.793], [1.411, 8.067, 1.668]],
  "species": ["Tm", "Y", "Y", "Y", "Y", "Y", "Y", "Tm", "Pm", "Y", "Y"],
  "fractional_positions": [[0.500, 0.384, 0.623], [0.499, 0.701, 0.972], [0.000, 0.668, 0.668], [0.000, 0.339, 0.339], [0.501, 0.034, 0.305], [0.000, 0.748, 0.260], [0.501, 0.305, 0.034], [0.500, 0.623, 0.384], [0.000, 0.003, 0.003], [0.499, 0.972, 0.701], [0.000, 0.260, 0.748]],
  "dos_at_fermi_per_ev_atom": 1.76,
  "ef_kj_per_mol_atoms": 17.11,
  "relative_energy_ev_per_atom": 0.015
}

=====

4.
{
  "formula": "VCd3Pt12",
  "functional": "PBE-GGA",
  "state": "optimized geometry",
  "lattice_angstrom": [[-3.534, 1.503, 1.114], [-0.570, -3.132, 2.419], [7.176, 7.971, 12.011]],
  "species": ["Pt", "Pt", "Pt", "Pt", "Pt", "Cd", "Pt", "Cd", "Cd", "Pt", "Pt", "Pt", "Pt", "Pt", "V", "Pt"],
  "fractional_positions": [[0.500, 0.000, 0.373], [0.000, 0.500, 0.115], [0.500, 0.500, 0.756], [0.000, 0.500, 0.885], [0.500, 0.000, 0.115], [0.000, 0.000, 0.246], [0.000, 0.500, 0.627], [0.000, 0.000, 0.754], [0.000, 0.000, 0.500], [0.500, 0.000, 0.627], [0.500, 0.000, 0.885], [0.500, 0.500, 0.500], [0.000, 0.500, 0.373], [0.500, 0.500, 0.000], [0.000, 0.000, 0.000], [0.500, 0.500, 0.244]],
  "dos_at_fermi_per_ev_atom": 1.01,
  "ef_kj_per_mol_atoms": -27.42
}

=====

5.
{
  "formula": "RbPtCl",
  "functional": "PBE-GGA",
  "state": "optimized geometry",
  "lattice_angstrom": [[1.351, 4.079, -0.662], [-3.616, -0.747, 2.295], [5.400, -0.429, 8.368]],
  "species": ["Rb", "Pt", "Cl", "Rb", "Cl", "Pt"],
  "fractional_positions": [[0.000, 0.000, 0.500], [0.667, 0.333, 0.750], [0.333, 0.667, 0.750], [0.000, 0.000, 0.000], [0.667, 0.333, 0.250], [0.333, 0.667, 0.250]],
  "dos_at_fermi_per_ev_atom": 0.19,
  "relative_energy_ev_per_atom": 0.472
}

=====

6.
{
  "formula": "Cs8Au3F2",
  "functional": "PBE-GGA",
  "state": "optimized geometry",
  "lattice_angstrom": [[-5.456, -5.305, 4.737], [6.610, -7.793, -1.114], [2.227, 7.846, 5.757]],
  "species": ["Au", "Cs", "F", "Au", "Cs", "Cs", "Cs", "Cs", "Au", "Cs", "F", "Cs", "Cs"],
  "fractional_positions": [[0.500, 0.000, 0.000], [0.740, 0.401, 0.256], [0.629, 0.689, 0.378], [0.000, 0.264, 0.000], [0.740, 0.854, 0.256], [0.712, 0.371, 0.742], [0.260, 0.146, 0.744], [0.260, 0.599, 0.744], [0.000, 0.736, 0.000], [0.758, 0.872, 0.744], [0.371, 0.311, 0.622], [0.242, 0.128, 0.256], [0.288, 0.629, 0.258]],
  "dos_at_fermi_per_ev_atom": 0.54
}

=====

7.
{
  "formula": "PmNd3Cu7",
  "functional": "PBE-GGA",
  "state": "optimized geometry",
  "lattice_angstrom": [[-1.079, 1.802, 3.294], [-4.192, -8.728, 1.085], [10.369, -4.267, 5.731]],
  "species": ["Cu", "Cu", "Cu", "Nd", "Cu", "Cu", "Cu", "Pm", "Nd", "Cu", "Pm", "Cu", "Cu", "Nd", "Cu", "Cu", "Cu", "Nd", "Nd", "Cu", "Nd", "Cu"],
  "fractional_positions": [[0.500, 0.000, 0.908], [0.407, 0.814, 0.750], [0.729, 0.458, 0.546], [0.116, 0.233, 0.464], [0.500, 0.000, 0.408], [0.375, 0.749, 0.347], [0.271, 0.542, 0.454], [0.023, 0.047, 0.750], [0.884, 0.767, 0.536], [0.593, 0.186, 0.250], [0.977, 0.953, 0.250], [0.500, 0.000, 0.592], [0.729, 0.458, 0.954], [0.884, 0.767, 0.964], [0.625, 0.251, 0.847], [0.375, 0.749, 0.153], [0.625, 0.251, 0.653], [0.116, 0.233, 0.036], [0.761, 0.523, 0.250], [0.271, 0.542, 0.046], [0.239, 0.477, 0.750], [0.500, 0.000, 0.092]],
  "dos_at_fermi_per_ev_atom": 0.70,
  "ef_kj_per_mol_atoms": -11.90
}

=====

8.
{
  "formula": "SrLi2ZnGe",
  "functional": "PBE-GGA",
  "state": "optimized geometry",
  "lattice_angstrom": [[-2.236, -4.282, 0.873], [4.290, -2.338, -0.482], [0.859, 0.558, 4.939]],
  "species": ["Li", "Zn", "Sr", "Ge", "Li"],
  "fractional_positions": [[0.000, 0.500, 0.000], [0.000, 0.000, 0.500], [0.500, 0.500, 0.500], [0.000, 0.000, 0.000], [0.500, 0.000, 0.000]],
  "dos_at_fermi_per_ev_atom": 0.56,
  "ef_kj_per_mol_atoms": -12.63
}

=====

9.
{
  "formula": "FeNiSN2",
  "functional": "PBE-GGA",
  "state": "optimized geometry",
  "lattice_angstrom": [[3.443, 0.000, 0.000], [0.000, 3.443, 0.000], [0.000, 0.000, 6.988]],
  "species": ["N", "N", "S", "Fe", "Ni"],
  "fractional_positions": [[0.500, 0.000, 0.000], [0.000, 0.500, 0.000], [0.000, 0.000, 0.500], [0.500, 0.500, 0.500], [0.000, 0.000, 0.000]],
  "dos_at_fermi_per_ev_atom": 1.14,
  "relative_energy_ev_per_atom": 0.360
}

=====

10.
{
  "formula": "AcEuLuCd",
  "functional": "PBE-GGA",
  "state": "optimized geometry",
  "lattice_angstrom": [[5.717, 0.000, 0.000], [2.858, 4.951, 0.000], [2.858, 1.650, 4.668]],
  "species": ["Cd", "Eu", "Lu", "Ac"],
  "fractional_positions": [[0.000, 0.000, 0.000], [0.750, 0.750, 0.750], [0.250, 0.250, 0.250], [0.500, 0.500, 0.500]],
  "dos_at_fermi_per_ev_atom": 1.23,
  "ef_kj_per_mol_atoms": 8.73
}

=====

11.
{
  "formula": "ErU2MoC4",
  "functional": "PBE-GGA",
  "state": "optimized geometry",
  "lattice_angstrom": [[3.596, 0.000, 0.000], [-1.798, 5.798, 0.000], [0.000, 0.000, 11.298]],
  "species": ["Er", "C", "C", "C", "U", "C", "U", "C", "U", "Mo", "Mo", "U", "C", "Er", "C", "C"],
  "fractional_positions": [[0.864, 0.729, 0.250], [0.746, 0.491, 0.619], [0.746, 0.491, 0.881], [0.254, 0.509, 0.381], [0.626, 0.252, 0.458], [0.254, 0.509, 0.119], [0.374, 0.748, 0.958], [0.535, 0.070, 0.250], [0.626, 0.252, 0.042], [0.873, 0.746, 0.750], [0.127, 0.254, 0.250], [0.374, 0.748, 0.542], [0.000, 0.000, 0.000], [0.136, 0.271, 0.750], [0.465, 0.930, 0.750], [0.000, 0.000, 0.500]],
  "dos_at_fermi_per_ev_atom": 0.86,
  "ef_kj_per_mol_atoms": -0.14
}

=====

12.
{
  "formula": "K3BiPt8",
  "functional": "PBE-GGA",
  "state": "optimized geometry",
  "lattice_angstrom": [[-4.023, -3.454, 1.567], [-0.914, -4.651, -2.846], [4.166, -7.076, 4.854]],
  "species": ["Pt", "K", "Pt", "Pt", "Pt", "Bi", "Pt", "K", "Pt", "Pt", "K", "Pt"],
  "fractional_positions": [[0.187, 0.187, 0.440], [0.497, 0.497, 0.510], [0.436, 0.932, 0.197], [0.938, 0.444, 0.680], [0.938, 0.938, 0.680], [0.878, 0.878, 0.365], [0.932, 0.436, 0.197], [0.003, 0.003, 0.990], [0.444, 0.938, 0.680], [0.688, 0.688, 0.937], [0.374, 0.374, 0.878], [0.436, 0.436, 0.197]],
  "dos_at_fermi_per_ev_atom": 0.44,
  "ef_kj_per_mol_atoms": -18.15
}

=====

13.
{
  "formula": "PmDy2Tm2",
  "functional": "PBE-GGA",
  "state": "optimized geometry",
  "lattice_angstrom": [[9.387, 0.000, 0.000], [0.000, 9.387, 0.000], [0.000, 0.000, 3.646]],
  "species": ["Tm", "Tm", "Dy", "Pm", "Tm", "Dy", "Tm", "Pm", "Dy", "Dy"],
  "fractional_positions": [[0.123, 0.623, 0.000], [0.877, 0.377, 0.000], [0.674, 0.174, 0.500], [0.000, 0.000, 0.000], [0.377, 0.123, 0.000], [0.826, 0.674, 0.500], [0.623, 0.877, 0.000], [0.500, 0.500, 0.000], [0.174, 0.326, 0.500], [0.326, 0.826, 0.500]],
  "dos_at_fermi_per_ev_atom": 1.02,
  "ef_kj_per_mol_atoms": 8.35,
  "relative_energy_ev_per_atom": 0.065
}

=====

14.
{
  "formula": "Sr2AsOsO",
  "functional": "PBE-GGA",
  "state": "optimized geometry",
  "lattice_angstrom": [[-3.500, 1.639, -3.679], [2.122, -1.686, -2.770], [-2.772, -4.516, 0.625]],
  "species": ["Os", "Sr", "Sr", "As", "O"],
  "fractional_positions": [[0.000, 0.500, 0.000], [0.500, 0.000, 0.000], [0.000, 0.000, 0.500], [0.500, 0.500, 0.500], [0.000, 0.000, 0.000]],
  "dos_at_fermi_per_ev_atom": 0.72
}

=====

15.
{
  "formula": "K2CuBiI6",
  "functional": "PBE-GGA",
  "state": "optimized geometry",
  "lattice_angstrom": [[-6.811, 4.371, -2.200], [-7.613, -3.437, 0.755], [-5.287, 2.772, 5.891]],
  "species": ["I", "K", "I", "I", "Cu", "Bi", "I", "I", "K", "I"],
  "fractional_positions": [[0.261, 0.739, 0.261], [0.250, 0.250, 0.250], [0.739, 0.261, 0.261], [0.261, 0.739, 0.739], [0.500, 0.500, 0.500], [0.000, 0.000, 0.000], [0.739, 0.739, 0.261], [0.739, 0.261, 0.739], [0.750, 0.750, 0.750], [0.261, 0.261, 0.739]],
  "relative_energy_ev_per_atom": 0.045
}

=====

16.
{
  "formula": "CaAgHg5",
  "functional": "PBE-GGA",
  "state": "optimized geometry",
  "lattice_angstrom": [[4.927, 0.000, 0.000], [0.000, 4.927, 0.000], [0.000, 0.000, 7.386]],
  "species": ["Hg", "Ag", "Hg", "Hg", "Ca", "Hg", "Hg"],
  "fractional_positions": [[0.000, 0.500, 0.713], [0.000, 0.000, 0.500], [0.500, 0.000, 0.287], [0.500, 0.500, 0.000], [0.000, 0.000, 0.000], [0.000, 0.500, 0.287], [0.500, 0.000, 0.713]],
  "dos_at_fermi_per_ev_atom": 0.49,
  "ef_kj_per_mol_atoms": -19.90
}

=====

17.
{
  "formula": "Li4ErPu3Se8",
  "functional": "PBE-GGA",
  "state": "optimized geometry",
  "lattice_angstrom": [[8.220, -0.012, 0.003], [0.009, 7.999, -0.174], [-4.117, -4.092, 5.819]],
  "species": ["Li", "Er", "Li", "Se", "Se", "Pu", "Se", "Li", "Li", "Se", "Se", "Se", "Se", "Se", "Pu", "Pu"],
  "fractional_positions": [[0.000, 0.000, 0.500], [0.000, 0.500, 0.000], [0.500, 0.000, 0.000], [0.751, 0.246, 0.502], [0.244, 0.246, 0.995], [0.500, 0.500, 0.500], [0.751, 0.246, 0.995], [0.000, 0.000, 0.000], [0.500, 0.000, 0.500], [0.249, 0.754, 0.498], [0.751, 0.753, 0.502], [0.249, 0.247, 0.498], [0.756, 0.754, 0.005], [0.249, 0.754, 0.005], [0.500, 0.500, 0.000], [0.000, 0.500, 0.500]],
  "dos_at_fermi_per_ev_atom": 2.00
}

=====

18.
{
  "formula": "AlZnCd2",
  "functional": "PBE-GGA",
  "state": "optimized geometry",
  "lattice_angstrom": [[-1.667, -1.960, 3.343], [2.409, 0.813, 1.678], [-0.403, 5.957, 3.291]],
  "species": ["Cd", "Zn", "Al", "Cd"],
  "fractional_positions": [[0.000, 0.997, 0.003], [0.500, 0.250, 0.250], [0.500, 0.750, 0.750], [0.000, 0.503, 0.497]],
  "dos_at_fermi_per_ev_atom": 0.41,
  "ef_kj_per_mol_atoms": 12.35,
  "relative_energy_ev_per_atom": 0.071
}

=====

19.
{
  "formula": "YOF2",
  "functional": "PBE-GGA",
  "state": "optimized geometry",
  "lattice_angstrom": [[3.636, 0.000, 0.000], [0.000, 3.636, 0.000], [1.818, 1.818, 7.662]],
  "species": ["F", "F", "O", "F", "Y", "Y", "F", "O"],
  "fractional_positions": [[0.875, 0.908, 0.750], [0.375, 0.342, 0.750], [0.500, 0.500, 0.000], [0.092, 0.625, 0.250], [0.750, 0.250, 0.500], [0.000, 0.000, 0.000], [0.658, 0.125, 0.250], [0.250, 0.750, 0.500]],
  "dos_at_fermi_per_ev_atom": 0.00,
  "relative_energy_ev_per_atom": 0.000
}

=====

20.
{
  "formula": "LiSmAl",
  "functional": "PBE-GGA",
  "state": "optimized geometry",
  "lattice_angstrom": [[-2.684, 1.956, -0.900], [-0.670, -2.125, -2.622], [-1.719, -3.018, 5.143]],
  "species": ["Al", "Sm", "Li"],
  "fractional_positions": [[0.638, 0.638, 0.276], [0.958, 0.958, 0.916], [0.254, 0.254, 0.508]],
  "dos_at_fermi_per_ev_atom": 1.19,
  "ef_kj_per_mol_atoms": -8.30,
  "relative_energy_ev_per_atom": 0.112
}

=====

21.
{
  "formula": "Mn5CrFe2Tc2",
  "functional": "PBE-GGA",
  "state": "optimized geometry",
  "lattice_angstrom": [[3.729, 0.000, 0.000], [0.000, 7.995, 0.000], [0.000, 0.000, 7.995]],
  "species": ["Mn", "Mn", "Mn", "Fe", "Mn", "Cr", "Tc", "Mn", "Fe", "Tc", "Mn", "Mn", "Tc", "Tc", "Fe", "Cr", "Mn", "Mn", "Fe", "Mn"],
  "fractional_positions": [[0.500, 0.196, 0.067], [0.500, 0.696, 0.433], [0.500, 0.304, 0.567], [0.000, 0.625, 0.875], [0.500, 0.933, 0.196], [0.000, 0.000, 0.000], [0.000, 0.329, 0.829], [0.500, 0.567, 0.696], [0.000, 0.875, 0.375], [0.000, 0.171, 0.329], [0.500, 0.433, 0.304], [0.500, 0.000, 0.500], [0.000, 0.829, 0.671], [0.000, 0.671, 0.171], [0.000, 0.125, 0.625], [0.000, 0.500, 0.500], [0.500, 0.500, 0.000], [0.500, 0.804, 0.933], [0.000, 0.375, 0.125], [0.500, 0.067, 0.804]],
  "dos_at_fermi_per_ev_atom": 1.01,
  "ef_kj_per_mol_atoms": 20.01
}

=====

22.
{
  "formula": "Na3Ac3TaO8",
  "functional": "PBE-GGA",
  "state": "optimized geometry",
  "lattice_angstrom": [[7.294, 0.000, 0.000], [-3.647, 6.316, -0.022], [0.000, -4.192, 5.756]],
  "species": ["O", "Na", "Ac", "O", "Ta", "O", "Na", "O", "O", "O", "Ac", "O", "Ac", "O", "Na"],
  "fractional_positions": [[0.252, 0.505, 0.257], [0.500, 0.500, 0.000], [0.500, 0.500, 0.500], [0.199, 0.994, 0.694], [0.000, 0.000, 0.500], [0.801, 0.601, 0.306], [0.000, 0.500, 0.000], [0.199, 0.399, 0.694], [0.205, 0.006, 0.306], [0.748, 0.495, 0.743], [0.500, 0.000, 0.500], [0.801, 0.006, 0.306], [0.000, 0.500, 0.500], [0.795, 0.994, 0.694], [0.000, 0.000, 0.000]],
  "dos_at_fermi_per_ev_atom": 0.08
}

=====

Number 1: uncorrected energy -77.49 eV/cell. Number 2: uncorrected energy -8.58 eV/cell. Number 3: uncorrected energy -63.46 eV/cell. Number 4: uncorrected energy -88.90 eV/cell. Number 5: uncorrected energy -19.52 eV/cell. Number 6: uncorrected energy -32.52 eV/cell. Number 7: uncorrected energy -98.17 eV/cell. Number 8: uncorrected energy -12.06 eV/cell. Number 9: uncorrected energy -29.07 eV/cell. Number 10: uncorrected energy -19.46 eV/cell. Number 11: uncorrected energy -149.75 eV/cell. Number 12: uncorrected energy -57.76 eV/cell. Number 13: uncorrected energy -44.93 eV/cell. Number 14: uncorrected energy -28.02 eV/cell. Number 15: uncorrected energy -26.59 eV/cell. Number 16: uncorrected energy -7.81 eV/cell. Number 17: uncorrected energy -106.56 eV/cell. Number 18: uncorrected energy -6.33 eV/cell. Number 19: uncorrected energy -52.69 eV/cell. Number 20: uncorrected energy -10.63 eV/cell. Number 21: uncorrected energy -182.11 eV/cell. Number 22: uncorrected energy -106.37 eV/cell.